[1]
The following is a DFT calculation (PBE) of a geometry-optimized TbTmZr2 structure.

Cell lengths 11.2704, 11.2704, 5.8944 Å; angles 105.00, 105.00, 17.18 degrees
With the nearest neighbours (Å) after each atom.
Positions (direct):
Tb 0.0000 0.0000 0.0000  6 Tb 3.37-3.39, 2 Tm 3.44, 4 Zr 3.45
Tb 0.5000 0.5000 0.5000  6 Tb 3.37-3.39, 2 Zr 3.43, 4 Tm 3.44
Tm 0.1318 0.1318 0.4626  7 Zr 3.22-3.41, 2 Tm 3.37, 3 Tb 3.44
Tm 0.8682 0.8682 0.5374  7 Zr 3.22-3.41, 2 Tm 3.37, 3 Tb 3.44
Zr 0.2476 0.2476 0.2303  7 Zr 3.15-3.37, 3 Tm 3.22-3.29
Zr 0.3682 0.3682 0.0413  5 Zr 3.15-3.37, 4 Tm 3.37-3.41, 3 Tb 3.43-3.45
Zr 0.6318 0.6318 0.9587  5 Zr 3.15-3.37, 4 Tm 3.37-3.41, 3 Tb 3.43-3.45
Zr 0.7524 0.7524 0.7697  7 Zr 3.15-3.37, 3 Tm 3.22-3.29

For the total magnetic moment, the calculation gives 0.00 μB per formula unit. For the total energy, the calculation gives -6.48 eV per atom. The formation enthalpy at 0 K comes out at 0.0738 eV/atom. As for the energy above the most stable polymorph in this dataset: 0.00 eV/f.u.

---

[2]
The following is a DFT calculation (PBE) of a geometry-optimized SnF2 structure.

Cell lengths 5.2266, 5.2266, 8.4633 Å; angles 90.00, 90.00, 90.00 degrees
With the nearest neighbours (Å) after each atom.
Positions (direct):
Sn 0.0043 0.0043 0.0000  4 F 2.14-2.36
Sn 0.4957 0.5043 0.2500  4 F 2.14-2.36
Sn 0.5043 0.4957 0.7500  4 F 2.14-2.36
Sn 0.9957 0.9957 0.5000  4 F 2.14-2.36
F 0.1420 0.2568 0.6718  2 Sn 2.14-2.36
F 0.2432 0.6420 0.9218  2 Sn 2.14-2.36
F 0.2568 0.1420 0.3282  2 Sn 2.14-2.36
F 0.3580 0.7568 0.5782  2 Sn 2.14-2.36
F 0.6420 0.2432 0.0782  2 Sn 2.14-2.36
F 0.7432 0.8580 0.8282  2 Sn 2.14-2.36
F 0.7568 0.3580 0.4218  2 Sn 2.14-2.36
F 0.8580 0.7432 0.1718  2 Sn 2.14-2.36

For the total magnetic moment, the calculation gives 0.00 μB per formula unit. Its formation energy without anion corrections is -2289 meV per atom. For the total energy, the calculation gives -4.87 eV per atom.

---

[3]
The following is a DFT calculation (PBE) of a geometry-optimized Hf3VPt structure.

Cell lengths 5.0374, 5.0374, 5.0374 Å; angles 90.00, 90.00, 90.00 degrees
With the nearest neighbours (Å) after each atom.
Positions (direct):
Hf 0.0000 0.0000 0.5000  2 Pt 2.52
Hf 0.0000 0.5000 0.0000  2 Pt 2.52
Hf 0.5000 0.0000 0.0000  2 Pt 2.52
V 0.5000 0.5000 0.5000  12 Hf 3.56
Pt 0.0000 0.0000 0.0000  6 Hf 2.52

For the total magnetic moment, the calculation gives 3.70 μB per formula unit. For the total energy, the calculation gives -8.43 eV per atom. The formation enthalpy at 0 K comes out at 0.5746 eV/atom. As for the energy above the most stable polymorph in this dataset: 0.00 eV/f.u.

---

[4]
The following is a DFT calculation (PBE) of a geometry-optimized GaCoMoOs structure.

Cell lengths 4.2974, 4.2974, 4.2974 Å; angles 60.00, 60.00, 60.00 degrees
With the nearest neighbours (Å) after each atom.
Positions (direct):
Ga 0.0000 0.0000 0.0000  4 Co 2.63, 4 Os 2.63
Co 0.7500 0.7500 0.7500  4 Mo 2.63, 4 Ga 2.63
Mo 0.5000 0.5000 0.5000  4 Co 2.63, 4 Os 2.63
Os 0.2500 0.2500 0.2500  4 Mo 2.63, 4 Ga 2.63

For the total magnetic moment, the calculation gives 1.93 μB per formula unit. For the total energy, the calculation gives -8.05 eV per atom. The formation enthalpy at 0 K comes out at 0.0022 eV/atom.

---

[5]
The following is a DFT calculation (PBE) of a geometry-optimized PmNd3Ir2 structure.

Cell lengths 8.6423, 8.6423, 11.2132 Å; angles 116.17, 116.17, 29.43 degrees
With the nearest neighbours (Å) after each atom.
Positions (direct):
Pm 0.0745 0.0745 0.1687  3 Ir 2.83-2.91
Pm 0.9255 0.9255 0.8313  3 Ir 2.83-2.91
Nd 0.1705 0.1705 0.5328  3 Ir 2.89-2.90
Nd 0.2893 0.2893 0.9084  3 Ir 2.88-2.91
Nd 0.4456 0.4456 0.2793  3 Ir 2.90-2.94
Nd 0.5544 0.5544 0.7207  3 Ir 2.90-2.94
Nd 0.7107 0.7107 0.0916  3 Ir 2.88-2.91
Nd 0.8295 0.8295 0.4672  3 Ir 2.89-2.90
Ir 0.1178 0.1178 0.9167  5 Nd 2.88-2.94, 2 Pm 2.91-3.22
Ir 0.3651 0.3651 0.6522  2 Pm 2.83, 4 Nd 2.89-2.90
Ir 0.6349 0.6349 0.3478  2 Pm 2.83, 4 Nd 2.89-2.90
Ir 0.8822 0.8822 0.0833  5 Nd 2.88-2.94, 2 Pm 2.91-3.22

For the total magnetic moment, the calculation gives 0.00 μB per formula unit. For the total energy, the calculation gives -6.66 eV per atom. The formation enthalpy at 0 K comes out at -0.5301 eV/atom. As for the energy above the most stable polymorph in this dataset: 0.23 eV/f.u.

---

[6]
The following is a DFT calculation (PBE) of a geometry-optimized RbVRePb2 structure.

Cell lengths 5.9556, 5.9556, 5.0208 Å; angles 90.00, 90.00, 90.00 degrees
With the nearest neighbours (Å) after each atom.
Positions (direct):
Rb 0.0000 0.0000 0.0000  2 V 2.51
V 0.0000 0.0000 0.5000  2 Rb 2.51
Re 0.5000 0.5000 0.5000  8 Pb 3.89, 4 V 4.21
Pb 0.0000 0.5000 0.0000  2 Rb 2.98
Pb 0.5000 0.0000 0.0000  2 Rb 2.98

For the total magnetic moment, the calculation gives 7.67 μB per formula unit. For the total energy, the calculation gives -3.27 eV per atom. The formation enthalpy at 0 K comes out at 2.7205 eV/atom.

---

[7]
The following is a DFT calculation (PBE) of a geometry-optimized BaSi2Cl structure.

Cell lengths 3.9537, 6.6863, 4.8255 Å; angles 90.00, 90.78, 90.00 degrees
With the nearest neighbours (Å) after each atom.
Positions (direct):
Ba 0.0000 0.0000 0.0000  4 Cl 3.10-3.14
Si 0.2489 0.5000 0.8767  2 Si 2.30-2.31
Si 0.7511 0.5000 0.1233  2 Si 2.30-2.31
Cl 0.5000 0.0000 0.5000  4 Ba 3.10-3.14

For the total magnetic moment, the calculation gives 0.00 μB per formula unit. Its formation energy without anion corrections is -537 meV per atom. For the total energy, the calculation gives -4.19 eV per atom. As for the energy above the most stable polymorph in this dataset: 0.73 eV/f.u.

---

[8]
The following is a DFT calculation (PBE) of a geometry-optimized LiZr structure.

Cell lengths 10.8285, 4.7846, 6.0906 Å; angles 90.00, 90.00, 90.00 degrees
With the nearest neighbours (Å) after each atom.
Positions (direct):
Li 0.0692 0.2500 0.0838  1 Li 2.47
Li 0.1532 0.7500 0.8243  1 Li 2.47
Li 0.3468 0.2500 0.3243  1 Li 2.47
Li 0.4308 0.7500 0.5838  1 Li 2.47
Li 0.5692 0.2500 0.4162  1 Li 2.47
Li 0.6532 0.7500 0.6757  1 Li 2.47
Li 0.8468 0.2500 0.1757  1 Li 2.47
Li 0.9308 0.7500 0.9162  1 Li 2.47
Zr 0.0748 0.2500 0.5738  6 Zr 2.91-3.12, 4 Li 2.96-3.11
Zr 0.1975 0.7500 0.3287  7 Li 2.89-3.14, 4 Zr 2.91-3.12
Zr 0.3025 0.2500 0.8287  7 Li 2.89-3.14, 4 Zr 2.91-3.12
Zr 0.4252 0.7500 0.0738  6 Zr 2.91-3.12, 4 Li 2.96-3.11
Zr 0.5748 0.2500 0.9262  6 Zr 2.91-3.12, 4 Li 2.96-3.11
Zr 0.6975 0.7500 0.1713  7 Li 2.89-3.14, 4 Zr 2.91-3.12
Zr 0.8025 0.2500 0.6713  7 Li 2.89-3.14, 4 Zr 2.91-3.12
Zr 0.9252 0.7500 0.4262  6 Zr 2.91-3.12, 4 Li 2.96-3.11

For the total magnetic moment, the calculation gives 0.00 μB per formula unit. For the total energy, the calculation gives -4.97 eV per atom. The formation enthalpy at 0 K comes out at 0.2642 eV/atom. As for the energy above the most stable polymorph in this dataset: 0.36 eV/f.u.